1.
Ba3IO2 | PBE-GGA | optimized geometry

Cell: 4.3972 7.9731 13.6940 Å, 100.55 90.00 90.00°
Closest atoms and distances in Å follow each position.
Positions (direct):
O1 0.2500 0.9925 0.5975  4 Ba 2.54-2.60
O2 0.7500 0.0075 0.4025  4 Ba 2.54-2.60
O3 0.7500 0.5655 0.0935  4 Ba 2.55-2.59
O4 0.2500 0.4345 0.9065  4 Ba 2.55-2.59
I1 0.2500 0.5651 0.3520  6 Ba 3.65-3.74
I2 0.7500 0.4349 0.6480  6 Ba 3.65-3.74
Ba1 0.7500 0.6088 0.9137  3 O 2.55-2.59
Ba2 0.2500 0.1712 0.4590  3 O 2.57-2.60
Ba3 0.7500 0.8288 0.5410  3 O 2.57-2.60
Ba4 0.7500 0.8392 0.2259  2 O 2.54-2.57
Ba5 0.2500 0.1608 0.7741  2 O 2.54-2.57
Ba6 0.2500 0.3912 0.0863  3 O 2.55-2.59

Summary:
**Total magnetization**: 0.00 μB per formula unit
**E_form (uncorrected)**: -203.5 kJ per mole of atoms

---

2.
Ce3AlTl3Se8 | PBE-GGA | optimized geometry

Cell: 8.3903 8.3908 9.2009 Å, 117.12 90.00 120.00°
Closest atoms and distances in Å follow each position.
Positions (direct):
Se1 0.2150 0.4301 0.6909  1 Al 2.66, 2 Ce 2.95
Se2 0.2632 0.5264 0.2896  3 Ce 2.93
Se3 0.2152 0.9758 0.6910  1 Al 2.66, 2 Ce 2.95
Se4 0.7848 0.0242 0.3090  1 Al 2.66, 2 Ce 2.95
Se5 0.7606 0.9758 0.6910  1 Al 2.66, 2 Ce 2.95
Se6 0.2394 0.0242 0.3090  1 Al 2.66, 2 Ce 2.95
Se7 0.7850 0.5699 0.3091  1 Al 2.66, 2 Ce 2.95
Se8 0.7368 0.4736 0.7104  3 Ce 2.93
Ce1 0.5000 0.0000 0.5000  6 Se 2.93-2.95
Ce2 0.5000 0.5000 0.5000  6 Se 2.93-2.95
Ce3 0.0000 0.5000 0.5000  6 Se 2.93-2.95
Tl1 0.5000 0.5000 0.0000  6 Se 3.32-3.35
Tl2 0.0000 0.5000 0.0000  6 Se 3.32-3.35
Tl3 0.0000 0.0000 0.0000  6 Se 3.32-3.35
Al1 0.0000 0.0000 0.5000  6 Se 2.66

Summary:
**Total magnetization**: 2.02 μB per formula unit
**E_form (uncorrected)**: -114.6 kJ per mole of atoms

---

3.
KMn2Cl | PBE-GGA | optimized geometry

Cell: 4.9646 4.9646 10.2410 Å, 75.97 75.97 90.00°
Closest atoms and distances in Å follow each position.
Positions (direct):
Mn1 0.8750 0.6281 0.7500  2 Mn 2.48, 2 Cl 2.71
Mn2 0.3750 0.6219 0.7500  2 Mn 2.48, 2 Cl 2.71
Mn3 0.3781 0.1250 0.2500  2 Mn 2.48, 2 Cl 2.71
Mn4 0.3719 0.6250 0.2500  2 Mn 2.48, 2 Cl 2.71
K1 0.0000 0.0000 0.0000  4 Cl 3.51, 8 Mn 3.66-3.68
K2 0.7500 0.2500 0.5000  4 Cl 3.51, 8 Mn 3.66-3.68
Cl1 0.5000 0.5000 0.0000  4 Mn 2.71
Cl2 0.2500 0.7500 0.5000  4 Mn 2.71

Summary:
**Total magnetization**: 7.98 μB per formula unit
**E_form (uncorrected)**: 48.9 kJ per mole of atoms
**Offset from the most stable computed form**: 0.456 eV per atom

---

4.
DyHo10Sc6 | PBE-GGA | optimized geometry

Cell: 6.5943 9.3281 9.3281 Å, 120.00 90.00 90.00°
Closest atoms and distances in Å follow each position.
Positions (direct):
Ho1 0.8185 0.7181 0.7181  5 Sc 3.24-3.41, 1 Dy 3.37, 4 Ho 3.56-3.58
Ho2 0.5000 0.3333 0.6667  6 Sc 3.19, 2 Ho 3.30
Ho3 0.1815 0.0000 0.7181  5 Sc 3.24-3.41, 1 Dy 3.37, 4 Ho 3.56-3.58
Ho4 0.0000 0.3333 0.6667  8 Ho 3.30-3.58, 6 Sc 3.62
Ho5 0.5000 0.6667 0.3333  6 Sc 3.19, 2 Ho 3.30
Ho6 0.1815 0.2819 0.2819  5 Sc 3.24-3.41, 1 Dy 3.37, 4 Ho 3.56-3.58
Ho7 0.8185 0.2819 0.0000  5 Sc 3.24-3.41, 1 Dy 3.37, 4 Ho 3.56-3.58
Ho8 0.1815 0.7181 0.0000  5 Sc 3.24-3.41, 1 Dy 3.37, 4 Ho 3.56-3.58
Ho9 0.8185 0.0000 0.2819  5 Sc 3.24-3.41, 1 Dy 3.37, 4 Ho 3.56-3.58
Ho10 0.0000 0.6667 0.3333  8 Ho 3.30-3.58, 6 Sc 3.62
Sc1 0.6832 0.6307 0.0000  7 Ho 3.19-3.41, 1 Sc 3.43
Sc2 0.6832 0.3693 0.3693  7 Ho 3.19-3.41, 1 Sc 3.43
Sc3 0.6832 0.0000 0.6307  7 Ho 3.19-3.41, 1 Sc 3.43
Sc4 0.3168 0.0000 0.3693  7 Ho 3.19-3.41, 1 Sc 3.43
Sc5 0.3168 0.6307 0.6307  7 Ho 3.19-3.41, 1 Sc 3.43
Sc6 0.3168 0.3693 0.0000  7 Ho 3.19-3.41, 1 Sc 3.43
Dy1 0.5000 0.0000 0.0000  6 Ho 3.37, 6 Sc 3.65

Summary:
**Formation enthalpy at 0 K**: 137.8 meV/atom
**Total magnetization**: 0.01 μB per formula unit

---

5.
Co2BiSb | PBE-GGA | optimized geometry

Cell: 4.5137 4.5137 8.5796 Å, 74.75 74.75 90.00°
Closest atoms and distances in Å follow each position.
Positions (direct):
Sb1 0.5000 0.5000 0.0000  4 Co 2.50
Sb2 0.2500 0.7500 0.5000  4 Co 2.50
Co1 0.3750 0.4043 0.7500  2 Sb 2.50, 2 Bi 2.61
Co2 0.8750 0.8457 0.7500  2 Sb 2.50, 2 Bi 2.61
Co3 0.5957 0.1250 0.2500  2 Sb 2.50, 2 Bi 2.61
Co4 0.1543 0.6250 0.2500  2 Sb 2.50, 2 Bi 2.61
Bi1 0.0000 0.0000 0.0000  4 Co 2.61
Bi2 0.7500 0.2500 0.5000  4 Co 2.61

Summary:
**Total magnetization**: 0.00 μB per formula unit
**E_form (uncorrected)**: 46.9 kJ per mole of atoms
**Offset from the most stable computed form**: 0.063 eV per atom

---

6.
ScP | PBE-GGA | optimized geometry

Cell: 4.1691 4.2389 4.1668 Å, 120.57 118.92 59.38°
Closest atoms and distances in Å follow each position.
Positions (direct):
P1 0.8098 0.0358 0.4330  4 Sc 2.57
Sc1 0.5600 0.7859 0.6829  4 P 2.57

Summary:
**Formation enthalpy at 0 K**: -959.4 meV/atom
**Total magnetization**: 0.00 μB per formula unit

---

7.
MgPaNi6 | PBE-GGA | optimized geometry

Cell: 4.7651 4.7651 4.7651 Å, 90.00 90.00 90.00°
Closest atoms and distances in Å follow each position.
Positions (direct):
Ni1 0.7474 0.0000 0.5000  2 Ni 2.36-2.41
Ni2 0.0000 0.5000 0.2526  2 Ni 2.36-2.41
Ni3 0.2526 0.0000 0.5000  2 Ni 2.36-2.41
Ni4 0.5000 0.7474 0.0000  2 Ni 2.36-2.41
Ni5 0.5000 0.2526 0.0000  2 Ni 2.36-2.41
Ni6 0.0000 0.5000 0.7474  2 Ni 2.36-2.41
Mg1 0.5000 0.5000 0.5000  12 Ni 2.66
Pa1 0.0000 0.0000 0.0000  12 Ni 2.67

Summary:
**Formation enthalpy at 0 K**: -178.9 meV/atom
**Total magnetization**: 0.00 μB per formula unit
**Offset from the most stable computed form**: 0.144 eV per atom

---

8.
Ga6Si | PBE-GGA | optimized geometry

Cell: 6.1357 6.1357 6.1357 Å, 109.47 109.47 109.47°
Closest atoms and distances in Å follow each position.
Positions (direct):
Ga1 0.5000 0.2500 0.7500  4 Ga 2.50
Ga2 0.2500 0.5000 0.7500  4 Ga 2.50
Ga3 0.7500 0.2500 0.5000  4 Ga 2.50
Ga4 0.2500 0.7500 0.5000  4 Ga 2.50
Ga5 0.5000 0.7500 0.2500  4 Ga 2.50
Ga6 0.7500 0.5000 0.2500  4 Ga 2.50
Si1 0.0000 0.0000 0.0000  24 Ga 3.96

Summary:
**Total magnetization**: 0.00 μB per formula unit
**E_form (uncorrected)**: 60.5 kJ per mole of atoms